# Mn4VFe

A relaxed structure of Mn4VFe (GGA-PBE, the Alexandria database).

Cell lengths 4.6125, 4.6125, 4.6125 Å; angles 60.00, 60.00, 60.00 degrees
Fractional coordinates of all 6 atoms:
Mn (0.6257, 0.6257, 0.1230)
Mn (0.6257, 0.1230, 0.6257)
Mn (0.6257, 0.6257, 0.6257)
Mn (0.1230, 0.6257, 0.6257)
Fe (0.0000, 0.0000, 0.0000)
V (0.2500, 0.2500, 0.2500)

Formation enthalpy at 0 K   0.04 eV per atom
Density of states at the Fermi level   5.637 states/eV/cell
Magnetic moment   1.35 Bohr magnetons per cell

---

# MnV5Fe6

A relaxed structure of MnV5Fe6 (GGA-PBE, the Alexandria database).

Cell lengths 4.0656, 5.7524, 6.4012 Å; angles 90.00, 108.48, 90.00 degrees
Fractional coordinates of all 12 atoms:
Mn (0.0000, 0.0000, 0.0000)
Fe (0.8303, 0.7481, 0.6603)
Fe (0.8303, 0.2519, 0.6603)
Fe (0.5000, 0.2558, 0.0000)
Fe (0.5000, 0.7442, 0.0000)
Fe (0.1697, 0.7481, 0.3397)
Fe (0.1697, 0.2519, 0.3397)
V (0.6661, 0.5000, 0.3323)
V (0.3382, 0.0000, 0.6761)
V (0.0000, 0.5000, 0.0000)
V (0.6618, 0.0000, 0.3239)
V (0.3339, 0.5000, 0.6677)

Formation enthalpy at 0 K   -0.12 eV per atom
Density of states at the Fermi level   10.792 states/eV/cell
Magnetic moment   6.86 Bohr magnetons per cell

---

# MnVFe6

A relaxed structure of MnVFe6 (GGA-PBE, the Alexandria database).

Cell lengths 6.4323, 6.4280, 4.5459 Å; angles 45.03, 44.98, 60.01 degrees
Fractional coordinates of all 8 atoms:
Mn (0.0000, 0.0000, 0.0000)
V (0.5000, 0.5000, 0.5000)
Fe (0.0002, 0.5000, 0.7478)
Fe (0.7520, 0.9999, 0.7478)
Fe (0.4998, 0.2478, 0.2522)
Fe (0.2480, 0.0001, 0.2522)
Fe (0.9998, 0.5000, 0.2522)
Fe (0.5002, 0.7522, 0.7478)

Formation enthalpy at 0 K   0.00 eV per atom
Density of states at the Fermi level   6.497 states/eV/cell
Magnetic moment   10.61 Bohr magnetons per cell

---

# Mn2V3Fe2

A relaxed structure of Mn2V3Fe2 (GGA-PBE, the Alexandria database).

Cell lengths 3.9658, 3.9685, 6.9268 Å; angles 89.86, 106.99, 119.96 degrees
Fractional coordinates of all 7 atoms:
Mn (0.7517, 0.3754, 0.1257)
Mn (0.2483, 0.6246, 0.8743)
V (0.0000, 0.0000, 0.0000)
V (0.4841, 0.2432, 0.7306)
V (0.5159, 0.7568, 0.2694)
Fe (0.2526, 0.1257, 0.3754)
Fe (0.7474, 0.8743, 0.6246)

Formation enthalpy at 0 K   0.13 eV per atom
Density of states at the Fermi level   5.624 states/eV/cell
Magnetic moment   2.15 Bohr magnetons per cell

---

Copy entry 4 word for word.
# Mn2V3Fe2

A relaxed structure of Mn2V3Fe2 (GGA-PBE, the Alexandria database).

Cell lengths 3.9658, 3.9685, 6.9268 Å; angles 89.86, 106.99, 119.96 degrees
Fractional coordinates of all 7 atoms:
Mn (0.7517, 0.3754, 0.1257)
Mn (0.2483, 0.6246, 0.8743)
V (0.0000, 0.0000, 0.0000)
V (0.4841, 0.2432, 0.7306)
V (0.5159, 0.7568, 0.2694)
Fe (0.2526, 0.1257, 0.3754)
Fe (0.7474, 0.8743, 0.6246)

Formation enthalpy at 0 K   0.13 eV per atom
Density of states at the Fermi level   5.624 states/eV/cell
Magnetic moment   2.15 Bohr magnetons per cell